Entry from OQMD via LeMat-Bulk: a geometry-optimized Co11Ni2 structure (PBE-GGA).

```
data_Co11Ni2
_cell_length_a 8.457
_cell_length_b 8.457
_cell_length_c 8.457
_cell_angle_alpha 31.33
_cell_angle_beta 31.33
_cell_angle_gamma 31.33
_space_group_name_H-M_alt 'P 1'
_space_group_IT_number 1
_space_group_name_Hall 'P 1'
loop_
_atom_site_label
_atom_site_type_symbol
_atom_site_fract_x
_atom_site_fract_y
_atom_site_fract_z
Co1 Co 0.000 0.000 0.000
Co2 Co 0.090 0.090 0.583
Co3 Co 0.090 0.583 0.090
Co4 Co 0.165 0.165 0.165
Co5 Co 0.417 0.910 0.910
Co6 Co 0.453 0.453 0.453
Co7 Co 0.547 0.547 0.547
Co8 Co 0.583 0.090 0.090
Co9 Co 0.835 0.835 0.835
Co10 Co 0.910 0.417 0.910
Co11 Co 0.910 0.910 0.417
Ni1 Ni 0.349 0.349 0.349
Ni2 Ni 0.651 0.651 0.651
```

The value obtained for the energy above the most stable polymorph in this dataset is 1.4 meV per atom. As for the space-group type: No. 166. As for the total energy: -6.750 eV per atom.


Entry from OQMD via LeMat-Bulk: a geometry-optimized Co4Ni9 structure (PBE-GGA).

```
data_Co4Ni9
_cell_length_a 8.479
_cell_length_b 8.479
_cell_length_c 8.479
_cell_angle_alpha 31.24
_cell_angle_beta 31.24
_cell_angle_gamma 31.24
_space_group_name_H-M_alt 'P 1'
_space_group_IT_number 1
_space_group_name_Hall 'P 1'
loop_
_atom_site_label
_atom_site_type_symbol
_atom_site_fract_x
_atom_site_fract_y
_atom_site_fract_z
Co1 Co 0.151 0.151 0.151
Co2 Co 0.334 0.334 0.334
Co3 Co 0.666 0.666 0.666
Co4 Co 0.849 0.849 0.849
Ni1 Ni 0.047 0.047 0.047
Ni2 Ni 0.085 0.590 0.590
Ni3 Ni 0.410 0.410 0.915
Ni4 Ni 0.410 0.915 0.410
Ni5 Ni 0.500 0.500 0.500
Ni6 Ni 0.590 0.085 0.590
Ni7 Ni 0.590 0.590 0.085
Ni8 Ni 0.915 0.410 0.410
Ni9 Ni 0.953 0.953 0.953
```

The value obtained for the energy above the most stable polymorph in this dataset is 19.1 meV per atom. As for the space-group type: No. 166. As for the total energy: -5.874 eV per atom.


Entry from OQMD via LeMat-Bulk: a geometry-optimized CoNi2 structure (PBE-GGA).

```
data_CoNi2
_cell_length_a 8.541
_cell_length_b 8.541
_cell_length_c 4.500
_cell_angle_alpha 90.00
_cell_angle_beta 90.00
_cell_angle_gamma 90.00
_space_group_name_H-M_alt 'P 1'
_space_group_IT_number 1
_space_group_name_Hall 'P 1'
loop_
_atom_site_label
_atom_site_type_symbol
_atom_site_fract_x
_atom_site_fract_y
_atom_site_fract_z
Co1 Co 0.000 0.000 0.000
Co2 Co 0.067 0.262 0.000
Co3 Co 0.238 0.567 0.500
Co4 Co 0.262 0.067 0.000
Co5 Co 0.433 0.762 0.500
Co6 Co 0.500 0.500 0.500
Co7 Co 0.567 0.238 0.500
Co8 Co 0.738 0.933 0.000
Co9 Co 0.762 0.433 0.500
Co10 Co 0.933 0.738 0.000
Ni1 Ni 0.037 0.368 0.500
Ni2 Ni 0.099 0.099 0.500
Ni3 Ni 0.132 0.537 0.000
Ni4 Ni 0.181 0.819 0.250
Ni5 Ni 0.181 0.819 0.750
Ni6 Ni 0.319 0.319 0.250
Ni7 Ni 0.319 0.319 0.750
Ni8 Ni 0.368 0.037 0.500
Ni9 Ni 0.401 0.599 0.000
Ni10 Ni 0.463 0.868 0.000
Ni11 Ni 0.537 0.132 0.000
Ni12 Ni 0.599 0.401 0.000
Ni13 Ni 0.632 0.963 0.500
Ni14 Ni 0.681 0.681 0.250
Ni15 Ni 0.681 0.681 0.750
Ni16 Ni 0.819 0.181 0.250
Ni17 Ni 0.819 0.181 0.750
Ni18 Ni 0.868 0.463 0.000
Ni19 Ni 0.901 0.901 0.500
Ni20 Ni 0.963 0.632 0.500
```

As for the space-group type: No. 136. As for the total energy: -5.996 eV per atom.


Entry from OQMD via LeMat-Bulk: a geometry-optimized Co5Ni8 structure (PBE-GGA).

```
data_Co5Ni8
_cell_length_a 8.474
_cell_length_b 8.474
_cell_length_c 8.474
_cell_angle_alpha 31.27
_cell_angle_beta 31.27
_cell_angle_gamma 31.27
_space_group_name_H-M_alt 'P 1'
_space_group_IT_number 1
_space_group_name_Hall 'P 1'
loop_
_atom_site_label
_atom_site_type_symbol
_atom_site_fract_x
_atom_site_fract_y
_atom_site_fract_z
Co1 Co 0.000 0.000 0.000
Co2 Co 0.165 0.165 0.165
Co3 Co 0.349 0.349 0.349
Co4 Co 0.651 0.651 0.651
Co5 Co 0.835 0.835 0.835
Ni1 Ni 0.089 0.089 0.585
Ni2 Ni 0.089 0.585 0.089
Ni3 Ni 0.415 0.911 0.911
Ni4 Ni 0.453 0.453 0.453
Ni5 Ni 0.547 0.547 0.547
Ni6 Ni 0.585 0.089 0.089
Ni7 Ni 0.911 0.415 0.911
Ni8 Ni 0.911 0.911 0.415
```

The value obtained for the energy above the most stable polymorph in this dataset is 21.3 meV per atom. As for the space-group type: No. 166. As for the total energy: -5.990 eV per atom.


Entry from OQMD via LeMat-Bulk: a geometry-optimized Co3Ni structure (PBE-GGA).

```
data_Co3Ni
_cell_length_a 3.503
_cell_length_b 3.503
_cell_length_c 3.503
_cell_angle_alpha 90.00
_cell_angle_beta 90.00
_cell_angle_gamma 90.00
_space_group_name_H-M_alt 'P 1'
_space_group_IT_number 1
_space_group_name_Hall 'P 1'
loop_
_atom_site_label
_atom_site_type_symbol
_atom_site_fract_x
_atom_site_fract_y
_atom_site_fract_z
Co1 Co 0.000 0.000 0.500
Co2 Co 0.000 0.500 0.000
Co3 Co 0.500 0.000 0.000
Ni1 Ni 0.500 0.500 0.500
```

As for the space-group type: No. 221. As for the total energy: -6.718 eV per atom.


Entry from OQMD via LeMat-Bulk: a geometry-optimized Co8Ni5 structure (PBE-GGA).

```
data_Co8Ni5
_cell_length_a 8.488
_cell_length_b 8.488
_cell_length_c 8.488
_cell_angle_alpha 31.22
_cell_angle_beta 31.22
_cell_angle_gamma 31.22
_space_group_name_H-M_alt 'P 1'
_space_group_IT_number 1
_space_group_name_Hall 'P 1'
loop_
_atom_site_label
_atom_site_type_symbol
_atom_site_fract_x
_atom_site_fract_y
_atom_site_fract_z
Co1 Co 0.083 0.590 0.590
Co2 Co 0.151 0.151 0.151
Co3 Co 0.410 0.410 0.917
Co4 Co 0.410 0.917 0.410
Co5 Co 0.590 0.083 0.590
Co6 Co 0.590 0.590 0.083
Co7 Co 0.849 0.849 0.849
Co8 Co 0.917 0.410 0.410
Ni1 Ni 0.047 0.047 0.047
Ni2 Ni 0.334 0.334 0.334
Ni3 Ni 0.500 0.500 0.500
Ni4 Ni 0.666 0.666 0.666
Ni5 Ni 0.953 0.953 0.953
```

The value obtained for the energy above the most stable polymorph in this dataset is 18.9 meV per atom. As for the space-group type: No. 166. As for the total energy: -6.371 eV per atom.


Entry from OQMD via LeMat-Bulk: a geometry-optimized Co10Ni3 structure (PBE-GGA).

```
data_Co10Ni3
_cell_length_a 8.510
_cell_length_b 8.510
_cell_length_c 8.510
_cell_angle_alpha 31.09
_cell_angle_beta 31.09
_cell_angle_gamma 31.09
_space_group_name_H-M_alt 'P 1'
_space_group_IT_number 1
_space_group_name_Hall 'P 1'
loop_
_atom_site_label
_atom_site_type_symbol
_atom_site_fract_x
_atom_site_fract_y
_atom_site_fract_z
Co1 Co 0.083 0.590 0.590
Co2 Co 0.150 0.150 0.150
Co3 Co 0.335 0.335 0.335
Co4 Co 0.410 0.410 0.917
Co5 Co 0.410 0.917 0.410
Co6 Co 0.590 0.083 0.590
Co7 Co 0.590 0.590 0.083
Co8 Co 0.665 0.665 0.665
Co9 Co 0.850 0.850 0.850
Co10 Co 0.917 0.410 0.410
Ni1 Ni 0.047 0.047 0.047
Ni2 Ni 0.500 0.500 0.500
Ni3 Ni 0.953 0.953 0.953
```

The value obtained for the energy above the most stable polymorph in this dataset is 15.3 meV per atom. As for the space-group type: No. 166. As for the total energy: -6.610 eV per atom.


Entry from OQMD via LeMat-Bulk: a geometry-optimized Co10Ni3 structure (PBE-GGA).

```
data_Co10Ni3
_cell_length_a 8.530
_cell_length_b 8.530
_cell_length_c 8.530
_cell_angle_alpha 30.84
_cell_angle_beta 30.84
_cell_angle_gamma 30.84
_space_group_name_H-M_alt 'P 1'
_space_group_IT_number 1
_space_group_name_Hall 'P 1'
loop_
_atom_site_label
_atom_site_type_symbol
_atom_site_fract_x
_atom_site_fract_y
_atom_site_fract_z
Co1 Co 0.047 0.047 0.047
Co2 Co 0.084 0.590 0.590
Co3 Co 0.335 0.335 0.335
Co4 Co 0.410 0.410 0.916
Co5 Co 0.410 0.916 0.410
Co6 Co 0.590 0.084 0.590
Co7 Co 0.590 0.590 0.084
Co8 Co 0.665 0.665 0.665
Co9 Co 0.916 0.410 0.410
Co10 Co 0.953 0.953 0.953
Ni1 Ni 0.152 0.152 0.152
Ni2 Ni 0.500 0.500 0.500
Ni3 Ni 0.848 0.848 0.848
```

The value obtained for the energy above the most stable polymorph in this dataset is 4.6 meV per atom. As for the space-group type: No. 166. As for the total energy: -6.621 eV per atom.